## CeNdSm2Ho5 (GGA-PBE)

Data for crystalline CeNdSm2Ho5 at its relaxed geometry.

The structure in CIF format:
```
data_CeNdSm2Ho5
_space_group_name_H-M_alt 'I 4/m c m'
_space_group_IT_number 140
_space_group_name_Hall '-I 4 2c'
_cell_length_a 8.683
_cell_length_b 8.683
_cell_length_c 15.400
_cell_angle_alpha 90.00
_cell_angle_beta 90.00
_cell_angle_gamma 90.00
loop_
_atom_site_label
_atom_site_type_symbol
_atom_site_fract_x
_atom_site_fract_y
_atom_site_fract_z
Ce1 Ce 0.000 0.500 0.250
Nd1 Nd 0.000 0.000 0.250
Sm1 Sm 0.119 0.381 0.000
Ho1 Ho 0.000 0.000 0.000
Ho2 Ho 0.203 0.297 0.362
```

Total moment: 1.02 μB per formula unit
Energy of formation: 0.2703 eV per atom
Calculated volume: 1161.0 Å³ per cell